VASP calculation (PBE) on an optimized crystal structure of Cs2SrUSe4.

It has space group P2/m (No. 10), with a = 7.7258 Å, b = 4.4255 Å, c = 8.7303 Å, α = 90.00°, β = 106.87° and γ = 90.00°. The inequivalent atoms are Cs at (0.0000, 0.0000, 0.0000), Cs at (0.5000, 0.5000, 0.0000), Sr at (0.0000, 0.5000, 0.5000), U at (0.5000, 0.0000, 0.5000), Se at (0.2586, 0.0000, 0.6894) and Se at (0.2931, 0.5000, 0.3150).

The formation energy without anion corrections comes out at -1123 kJ/mol of formula units. The density of states at the Fermi level is 0.576 states/eV/atom.

***

VASP calculation (PBE) on an optimized crystal structure of Cs2SrUSe6.

It has space group P2_1/c (No. 14), with a = 8.0802 Å, b = 8.0798 Å, c = 13.9874 Å, α = 90.00°, β = 125.27° and γ = 90.00°. The inequivalent atoms are Cs at (0.2499, 0.0001, 0.2501), Sr at (0.0000, 0.0000, 0.5000), U at (0.5000, 0.0000, 0.0000), Se at (0.2657, 0.2328, 0.9995), Se at (0.2673, 0.5006, 0.2665) and Se at (0.2671, 0.7338, 0.4999).

The formation energy without anion corrections comes out at -1091 kJ/mol of formula units. The density of states at the Fermi level is 0.937 states/eV/atom.

***

VASP calculation (PBE) on an optimized crystal structure of CsSr2USe6.

It has space group P2_1/c (No. 14), with a = 7.5389 Å, b = 8.1105 Å, c = 13.0936 Å, α = 90.00°, β = 119.21° and γ = 90.00°. The inequivalent atoms are Cs at (0.0000, 0.0000, 0.0000), Sr at (0.2983, 0.0997, 0.7585), U at (0.5000, 0.0000, 0.5000), Se at (0.1324, 0.0702, 0.3117), Se at (0.3211, 0.6701, 0.0989) and Se at (0.4634, 0.2189, 0.0999).

The formation energy without anion corrections comes out at -1251 kJ/mol of formula units. The density of states at the Fermi level is 0.691 states/eV/atom.

***

VASP calculation (PBE) on an optimized crystal structure of Cs3Sr2USe6.

It has space group C2/m (No. 12), with a = 7.7603 Å, b = 13.4164 Å, c = 8.7223 Å, α = 90.00°, β = 107.19° and γ = 90.00°. The inequivalent atoms are Cs at (0.0000, 0.0000, 0.0000), Cs at (0.0000, 0.3262, 0.0000), Sr at (0.0000, 0.1660, 0.5000), U at (0.0000, 0.5000, 0.5000), Se at (0.2125, 0.3504, 0.6887) and Se at (0.2338, 0.5000, 0.3083).

The formation energy without anion corrections comes out at -1779 kJ/mol of formula units.

***

VASP calculation (PBE) on an optimized crystal structure of CsSrVSe4.

It has space group P2_1/m (No. 11), with a = 7.0128 Å, b = 7.1743 Å, c = 9.9835 Å, α = 90.00°, β = 108.12° and γ = 90.00°. The inequivalent atoms are Cs at (0.2218, 0.2500, 0.4301), Sr at (0.2695, 0.2500, 0.9586), V at (0.3007, 0.7500, 0.1767), Se at (0.1005, 0.7500, 0.3195), Se at (0.1178, 0.7500, 0.9437) and Se at (0.4884, 0.5038, 0.7776).

The formation energy without anion corrections comes out at -840 kJ/mol of formula units.

***

VASP calculation (PBE) on an optimized crystal structure of Cs2SrZn2Se4.

It has space group C2/m (No. 12), with a = 16.6704 Å, b = 4.3234 Å, c = 8.5910 Å, α = 90.00°, β = 109.73° and γ = 90.00°. The inequivalent atoms are Cs at (0.1293, 0.0000, 0.0472), Sr at (0.0000, 0.0000, 0.5000), Zn at (0.1715, 0.5000, 0.4691), Se at (0.0285, 0.5000, 0.2674) and Se at (0.2060, 0.0000, 0.6501).

The formation energy without anion corrections comes out at -1048 kJ/mol of formula units. The density of states at the Fermi level is 0.000 states/eV/atom.

***

VASP calculation (PBE) on an optimized crystal structure of Cs4TaSe4.

It has space group P4_2/nmc (No. 137, origin choice 2), with a = 10.1452 Å, b = 10.1452 Å, c = 7.6620 Å, α = 90.00°, β = 90.00° and γ = 90.00°. The inequivalent atoms are Cs at (0.0270, 0.2500, 0.1017), Ta at (0.2500, 0.7500, 0.2500) and Se at (0.0417, 0.7500, 0.4194).

Its distance to the lowest polymorph of the same formula is 0 meV per atom. The formation energy without anion corrections comes out at -912 kJ/mol of formula units. The density of states at the Fermi level is 0.406 states/eV/atom.

***

VASP calculation (PBE) on an optimized crystal structure of CsTaSe2.

It has space group C2/m (No. 12), with a = 17.8838 Å, b = 4.3444 Å, c = 8.0666 Å, α = 90.00°, β = 115.39° and γ = 90.00°. The inequivalent atoms are Cs at (0.1448, 0.0000, 0.1357), Ta at (0.0813, 0.5000, 0.5673), Se at (0.0006, 0.5000, 0.7697) and Se at (0.1617, 0.0000, 0.6721).

The formation energy without anion corrections comes out at -292 kJ/mol of formula units. The density of states at the Fermi level is 0.366 states/eV/atom.

***

VASP calculation (PBE) on an optimized crystal structure of CsTa2Se8.

It has space group C2/m (No. 12), with a = 7.3620 Å, b = 17.2096 Å, c = 5.0317 Å, α = 90.00°, β = 92.87° and γ = 90.00°. The inequivalent atoms are Cs at (0.0000, 0.0000, 0.0000), Ta at (0.0000, 0.2522, 0.5000), Se at (0.0000, 0.2413, 0.0000), Se at (0.0602, 0.5000, 0.2113) and Se at (0.2431, 0.3568, 0.5263).

The formation energy without anion corrections comes out at -494 kJ/mol of formula units. The density of states at the Fermi level is 0.540 states/eV/atom.

***

VASP calculation (PBE) on an optimized crystal structure of CsTaSe4.

It has space group C2/m (No. 12), with a = 16.2749 Å, b = 8.0270 Å, c = 5.9332 Å, α = 90.00°, β = 92.07° and γ = 90.00°. The inequivalent atoms are Cs at (0.1898, 0.0000, 0.2080), Ta at (0.0201, 0.5000, 0.2696), Se at (0.0000, 0.2414, 0.0000), Se at (0.0951, 0.2984, 0.6171) and Se at (0.1766, 0.5000, 0.2778).

Its distance to the lowest polymorph of the same formula is 16 meV per atom. The formation energy without anion corrections comes out at -386 kJ/mol of formula units. The density of states at the Fermi level is 0.595 states/eV/atom.

***

VASP calculation (PBE) on an optimized crystal structure of CsTaSe4.

It has space group C2/c (No. 15), with a = 9.5702 Å, b = 14.9420 Å, c = 6.5450 Å, α = 90.00°, β = 111.58° and γ = 90.00°. The inequivalent atoms are Cs at (0.0000, 0.1498, 0.2500), Ta at (0.0000, 0.4998, 0.2500), Se at (0.0819, 0.3694, 0.5451) and Se at (0.2172, 0.4426, 0.1167).

Its distance to the lowest polymorph of the same formula is 0 meV per atom. The formation energy without anion corrections comes out at -395 kJ/mol of formula units. The density of states at the Fermi level is 0.435 states/eV/atom.

***

VASP calculation (PBE) on an optimized crystal structure of Cs2TaSe.

It has space group Fm-3m (No. 225), with a = 8.8086 Å, b = 8.8086 Å, c = 8.8086 Å, α = 90.00°, β = 90.00° and γ = 90.00°. The inequivalent atoms are Cs at (0.2500, 0.2500, 0.2500), Ta at (0.0000, 0.0000, 0.0000) and Se at (0.0000, 0.0000, 0.5000).

The formation energy without anion corrections comes out at 409 kJ/mol of formula units. The density of states at the Fermi level is 0.433 states/eV/atom.

***

The lowest formation energy without anion corrections belongs to which entry?
Cs3Sr2USe6